Record 1
Entry from Alexandria: a relaxed structure of Na2CeCoCl8 (GGA-PBE).

Results
Uncorrected formation energy (eV/f.u.): -17.662
Crystal system: monoclinic
Total DFT energy (no corrections) (Ha/atom): -0.147
Total moment (μB per cell): 0.932

abc: 6.329 7.672 6.467
angles: 90.00 95.20 90.00
Fractional positions:
Na: 0.000 0.229 0.000
Na: 0.000 0.771 0.000
Ce: 0.500 0.500 0.500
Co: 0.500 0.000 0.500
Cl: 0.247 0.500 0.151
Cl: 0.285 0.000 0.200
Cl: 0.286 0.220 0.637
Cl: 0.286 0.780 0.637
Cl: 0.714 0.220 0.363
Cl: 0.714 0.780 0.363
Cl: 0.715 0.000 0.800
Cl: 0.753 0.500 0.849

***

Record 2
Entry from Alexandria: a relaxed structure of CaZrAs2 (GGA-PBE).

Results
ΔE to the lowest computed polymorph (kJ per mole of atoms): 22.4
Crystal system: orthorhombic
Total DFT energy (no corrections) (Ha/atom): -0.217
Energy of formation (eV per atom): -0.948
Total moment (μB per cell): 0.000

abc: 7.509 7.509 7.509
angles: 152.17 151.08 40.57
Fractional positions:
Ca: 0.000 0.000 0.000
Zr: 0.253 0.753 0.500
As: 0.397 0.397 0.000
As: 0.676 0.176 0.500

***

Record 3
Entry from Alexandria: a relaxed structure of MgTlP2 (GGA-PBE).

Results
ΔE to the lowest computed polymorph (kJ per mole of atoms): 16.6
Crystal system: orthorhombic
Total DFT energy (no corrections) (Ha/atom): -0.133
Energy of formation (eV per atom): 0.064
Total moment (μB per cell): 0.000

abc: 4.795 4.331 4.331
angles: 75.79 90.00 90.00
Fractional positions:
Mg: 0.000 0.000 0.000
Tl: 0.500 0.674 0.674
P: 0.000 0.376 0.376
P: 0.500 0.251 0.251

***

Record 4
Entry from Alexandria: a relaxed structure of Sm4HPd2 (GGA-PBE).

Results
Crystal system: tetragonal
Total DFT energy (no corrections) (Ha/atom): -0.189
Total moment (μB per cell): 0.000

abc: 8.254 8.254 8.254
angles: 147.04 147.04 47.30
Fractional positions:
Sm: 0.000 0.500 0.500
Sm: 0.186 0.186 0.000
Sm: 0.500 0.000 0.500
Sm: 0.814 0.814 0.000
H: 0.000 0.000 0.000
Pd: 0.368 0.368 0.000
Pd: 0.632 0.632 0.000

***

Record 5
Entry from Alexandria: a relaxed structure of AcGe2Ir3 (GGA-PBE).

Results
ΔE to the lowest computed polymorph (kJ per mole of atoms): 0.0
Crystal system: hexagonal
Total DFT energy (no corrections) (Ha/atom): -0.268
Energy of formation (eV per atom): -0.638
Total moment (μB per cell): 0.000

abc: 5.791 5.791 3.838
angles: 90.00 90.00 120.00
Fractional positions:
Ac: 0.000 0.000 0.000
Ge: 0.333 0.667 0.000
Ge: 0.667 0.333 0.000
Ir: 0.000 0.500 0.500
Ir: 0.500 0.000 0.500
Ir: 0.500 0.500 0.500

***

Record 6
Entry from Alexandria: a relaxed structure of PmHoZnPd (GGA-PBE).

Results
ΔE to the lowest computed polymorph (kJ per mole of atoms): 0.0
Crystal system: tetragonal
Total DFT energy (no corrections) (Ha/atom): -0.167
Energy of formation (eV per atom): -0.594
Total moment (μB per cell): 0.000

abc: 3.594 3.594 7.075
angles: 90.00 90.00 90.00
Fractional positions:
Pm: 0.000 0.000 0.000
Ho: 0.000 0.000 0.490
Zn: 0.500 0.500 0.732
Pd: 0.500 0.500 0.267

***

Record 7
Entry from Alexandria: a relaxed structure of Mg5Hg6Bi (GGA-PBE).

Results
Crystal system: monoclinic
Total DFT energy (no corrections) (Ha/atom): -0.047
Energy of formation (eV per atom): -0.143
Total moment (μB per cell): 0.000

abc: 5.006 7.204 7.825
angles: 90.00 103.55 90.00
Fractional positions:
Mg: 0.000 0.000 0.000
Mg: 0.321 0.000 0.669
Mg: 0.329 0.500 0.672
Mg: 0.671 0.500 0.328
Mg: 0.679 0.000 0.331
Hg: 0.187 0.240 0.350
Hg: 0.187 0.760 0.350
Hg: 0.500 0.225 0.000
Hg: 0.500 0.775 0.000
Hg: 0.813 0.240 0.650
Hg: 0.813 0.760 0.650
Bi: 0.000 0.500 0.000

***

Record 8
Entry from Alexandria: a relaxed structure of Li6AcHg4 (GGA-PBE).

Results
Crystal system: hexagonal
Total DFT energy (no corrections) (Ha/atom): -0.068
Energy of formation (eV per atom): -0.322
Total moment (μB per cell): 0.000

abc: 8.075 8.075 4.216
angles: 90.00 90.00 120.00
Fractional positions:
Li: 0.200 0.400 0.000
Li: 0.200 0.800 0.000
Li: 0.251 0.126 0.500
Li: 0.600 0.800 0.000
Li: 0.874 0.126 0.500
Li: 0.874 0.749 0.500
Ac: 0.667 0.333 0.000
Hg: 0.000 0.000 0.000
Hg: 0.058 0.529 0.500
Hg: 0.471 0.529 0.500
Hg: 0.471 0.942 0.500

***

Question: The highest total DFT energy (no corrections) belongs to which entry?
Answer: Mg5Hg6Bi